(1)
An optimized crystal structure of TmNbRu2. Source: the Alexandria database, functional PBE.

a = 3.2362 Å, b = 3.2362 Å, c = 6.6540 Å
α = 90.00°, β = 90.00°, γ = 90.00°
Space group P4/mmm (No. 123)
One atom of each set of equivalent atoms:
Tm 0.0000 0.0000 0.0000 [1 per cell]
Nb 0.0000 0.0000 0.5000 [1 per cell]
Ru 0.5000 0.5000 0.2721 [2 per cell]

Formation energy   -0.4239 eV per atom
E   -34.79 eV/f.u.

---

(2)
An optimized crystal structure of TmNbRu2. Source: the Alexandria database, functional PBE.

a = 4.6201 Å, b = 4.6201 Å, c = 3.2371 Å
α = 90.00°, β = 90.00°, γ = 90.00°
Space group P4/mmm (No. 123)
One atom of each set of equivalent atoms:
Tm 0.0000 0.0000 0.0000 [1 per cell]
Nb 0.5000 0.5000 0.0000 [1 per cell]
Ru 0.0000 0.5000 0.5000 [2 per cell]

Formation energy   -0.3598 eV per atom
E   -34.53 eV/f.u.

---

(3)
An optimized crystal structure of TmNb5Ru6. Source: the Alexandria database, functional PBE.

a = 4.4309 Å, b = 13.3180 Å, c = 6.7650 Å
α = 90.00°, β = 90.00°, γ = 90.00°
Space group Cmmm (No. 65)
One atom of each set of equivalent atoms:
Tm 0.0000 0.0000 0.0000 [2 per cell]
Nb 0.0000 0.0000 0.5000 [2 per cell]
Nb 0.0000 0.3219 0.0000 [4 per cell]
Nb 0.0000 0.3345 0.5000 [4 per cell]
Ru 0.0000 0.1700 0.2729 [8 per cell]
Ru 0.0000 0.5000 0.2650 [4 per cell]

Formation energy   -0.2557 eV per atom
E   -113.54 eV/f.u.

---

(4)
An optimized crystal structure of Tm5NbRu6. Source: the Alexandria database, functional PBE.

a = 4.7056 Å, b = 6.6719 Å, c = 14.0190 Å
α = 90.00°, β = 90.00°, γ = 90.00°
Space group Immm (No. 71)
One atom of each set of equivalent atoms:
Tm 0.0000 0.0000 0.0000 [2 per cell]
Tm 0.0000 0.0000 0.3320 [4 per cell]
Tm 0.0000 0.5000 0.3346 [4 per cell]
Nb 0.0000 0.5000 0.0000 [2 per cell]
Ru 0.0000 0.2322 0.5000 [4 per cell]
Ru 0.0000 0.2600 0.1591 [8 per cell]

Formation energy   -0.4390 eV per atom
E   -93.35 eV/f.u.

---

(5)
An optimized crystal structure of TmNb4Ru5. Source: the Alexandria database, functional PBE.

a = 3.2358 Å, b = 3.2358 Å, c = 15.9110 Å
α = 90.00°, β = 90.00°, γ = 90.00°
Space group P4/mmm (No. 123)
One atom of each set of equivalent atoms:
Tm 0.0000 0.0000 0.0000 [1 per cell]
Nb 0.0000 0.0000 0.2077 [2 per cell]
Nb 0.0000 0.0000 0.4023 [2 per cell]
Ru 0.5000 0.5000 0.1152 [2 per cell]
Ru 0.5000 0.5000 0.3088 [2 per cell]
Ru 0.5000 0.5000 0.5000 [1 per cell]

Formation energy   -0.2745 eV per atom
E   -93.87 eV/f.u.

---

(6)
An optimized crystal structure of TmNbRu4. Source: the Alexandria database, functional PBE.

a = 7.3603 Å, b = 7.3603 Å, c = 7.3603 Å
α = 90.00°, β = 90.00°, γ = 90.00°
Space group F-43m (No. 216)
One atom of each set of equivalent atoms:
Tm 0.0000 0.0000 0.0000 [4 per cell]
Nb 0.2500 0.2500 0.2500 [4 per cell]
Ru 0.1250 0.1250 0.6250 [16 per cell]

Formation energy   -0.1553 eV per atom
E   -52.58 eV/f.u.

---

(7)
An optimized crystal structure of TmNbRu2. Source: the Alexandria database, functional PBE.

a = 6.5038 Å, b = 6.5038 Å, c = 6.5038 Å
α = 90.00°, β = 90.00°, γ = 90.00°
Space group Fm-3m (No. 225)
One atom of each set of equivalent atoms:
Tm 0.0000 0.0000 0.0000 [4 per cell]
Nb 0.0000 0.0000 0.5000 [4 per cell]
Ru 0.2500 0.2500 0.2500 [8 per cell]

Formation energy   -0.3943 eV per atom
E   -34.67 eV/f.u.

---

(8)
An optimized crystal structure of TmNbZnRu. Source: the Alexandria database, functional PBE.

a = 6.6022 Å, b = 6.6022 Å, c = 6.6022 Å
α = 90.00°, β = 90.00°, γ = 90.00°
Space group F-43m (No. 216)
One atom of each set of equivalent atoms:
Tm 0.0000 0.0000 0.0000 [4 per cell]
Nb 0.0000 0.0000 0.5000 [4 per cell]
Zn 0.2500 0.2500 0.2500 [4 per cell]
Ru 0.2500 0.2500 0.7500 [4 per cell]

Formation energy   -0.1695 eV per atom
E   -25.77 eV/f.u.